Record 1
K2OsN after structural relaxation, computed with PBE.

Properties
Final energy in eV/cell: -83.0

Cell: 11.6862 11.6862 3.7477 Å, 90.00 90.00 90.00°
Positions (direct):
1 K 0.0196 0.2500 0.1250
2 K 0.2500 0.5196 0.3750
3 K 0.2500 0.9804 0.8750
4 K 0.4804 0.2500 0.6250
5 K 0.5196 0.7500 0.6250
6 K 0.7500 0.0196 0.8750
7 K 0.7500 0.4804 0.3750
8 K 0.9804 0.7500 0.1250
9 Os 0.0000 0.0000 0.5000
10 Os 0.0000 0.5000 0.7500
11 Os 0.5000 0.0000 0.2500
12 Os 0.5000 0.5000 0.0000
13 N 0.0000 0.0000 0.0000
14 N 0.0000 0.5000 0.2500
15 N 0.5000 0.0000 0.7500
16 N 0.5000 0.5000 0.5000

=====

Record 2
KOs3N after structural relaxation, computed with PBE.

Properties
Relative energy among the computed polymorphs in meV/atom: 0.0
Final energy in eV/cell: -35.8

Cell: 4.2099 4.2099 4.2099 Å, 90.00 90.00 90.00°
Positions (direct):
1 K 0.0000 0.0000 0.0000
2 Os 0.0000 0.5000 0.5000
3 Os 0.5000 0.0000 0.5000
4 Os 0.5000 0.5000 0.0000
5 N 0.5000 0.5000 0.5000

=====

Record 3
K2PaOsN4 after structural relaxation, computed with PBE.

Properties
Final energy in eV/cell: -117.1

Cell: 6.2072 6.2072 8.0671 Å, 90.00 90.00 90.00°
Positions (direct):
1 K 0.0000 0.0000 0.0000
2 K 0.0000 0.5000 0.2500
3 K 0.5000 0.0000 0.7500
4 K 0.5000 0.5000 0.5000
5 Pa 0.0000 0.0000 0.5000
6 Pa 0.5000 0.5000 0.0000
7 Os 0.0000 0.5000 0.7500
8 Os 0.5000 0.0000 0.2500
9 N 0.1323 0.2597 0.6467
10 N 0.2403 0.6323 0.8533
11 N 0.2597 0.8677 0.3533
12 N 0.3677 0.2403 0.1467
13 N 0.6323 0.7597 0.1467
14 N 0.7403 0.1323 0.3533
15 N 0.7597 0.3677 0.8533
16 N 0.8677 0.7403 0.6467

=====

Record 4
KPaOsN4 after structural relaxation, computed with PBE.

Properties
Final energy in eV/cell: -116.0

Cell: 6.0839 5.6948 7.6416 Å, 90.00 106.86 90.00°
Positions (direct):
1 K 0.2078 0.2500 0.4418
2 K 0.7922 0.7500 0.5582
3 Pa 0.2970 0.2500 0.9656
4 Pa 0.7030 0.7500 0.0344
5 Os 0.2461 0.7500 0.1588
6 Os 0.7539 0.2500 0.8412
7 N 0.0368 0.7500 0.9352
8 N 0.0663 0.7500 0.3052
9 N 0.4841 0.5153 0.1741
10 N 0.4841 0.9847 0.1741
11 N 0.5159 0.0153 0.8259
12 N 0.5159 0.4847 0.8259
13 N 0.9337 0.2500 0.6948
14 N 0.9632 0.2500 0.0648

=====

Record 5
K2PaOs2N6 after structural relaxation, computed with PBE.

Properties
Final energy in eV/cell: -86.7

Cell: 6.1963 6.1963 7.5104 Å, 116.01 116.01 58.55°
Positions (direct):
1 K 0.2005 0.2005 0.1522
2 K 0.7995 0.7995 0.8478
3 Pa 0.0000 0.0000 0.5000
4 Os 0.4298 0.4298 0.7107
5 Os 0.5702 0.5702 0.2893
6 N 0.2224 0.7338 0.2601
7 N 0.2512 0.2512 0.6561
8 N 0.2662 0.7776 0.7399
9 N 0.7338 0.2224 0.2601
10 N 0.7488 0.7488 0.3439
11 N 0.7776 0.2662 0.7399

=====

Record 6
KPa3Os4N12 after structural relaxation, computed with PBE.

Properties
Final energy in eV/cell: -178.5

Cell: 7.3127 7.3127 7.3127 Å, 102.37 102.37 102.37°
Positions (direct):
1 K 0.0000 0.0000 0.0000
2 Pa 0.0000 0.5623 0.4377
3 Pa 0.4377 0.0000 0.5623
4 Pa 0.5623 0.4377 0.0000
5 Os 0.0579 0.5000 0.9421
6 Os 0.5000 0.5000 0.5000
7 Os 0.5000 0.9421 0.0579
8 Os 0.9421 0.0579 0.5000
9 N 0.0201 0.6194 0.7568
10 N 0.1033 0.8966 0.5000
11 N 0.2432 0.3806 0.9799
12 N 0.3393 0.6607 0.5000
13 N 0.3806 0.9799 0.2432
14 N 0.5000 0.1034 0.8966
15 N 0.5000 0.3393 0.6607
16 N 0.6194 0.7568 0.0201
17 N 0.6607 0.5000 0.3393
18 N 0.7568 0.0201 0.6194
19 N 0.8966 0.5000 0.1033
20 N 0.9799 0.2432 0.3806

=====

Computed values of formation energy without anion corrections (unit: kJ/mol of formula units) for the preceding records, in sequence: 96 707 -222 -277 -247 -399.
Computed values of density of states at the Fermi level (unit: states/eV per cell) for the preceding records, in sequence: 7.2 5.2 8.7 1.2 4.8 9.5.